Compound: Pm2HoEr3Te6
Source: Alexandria
Functional: PBE
Structure: relaxed

abc: 4.332 8.819 9.816
angles: 103.85 102.75 90.00
Sites, in units of the cell vectors:
Pm 0.830 0.662 0.660
Pm 0.170 0.338 0.340
Ho 0.500 0.000 0.000
Er 0.500 0.500 0.000
Er 0.828 0.164 0.657
Er 0.172 0.836 0.343
Te 0.336 0.925 0.671
Te 0.662 0.591 0.324
Te 0.664 0.075 0.329
Te 0.996 0.249 0.993
Te 0.004 0.751 0.007
Te 0.338 0.409 0.676

Values from the calculation:
As for the crystal system: monoclinic. Its space group is No. 12. Its energy relative to the elements, uncorrected is -1285 meV/atom.

Compound: NiOsC
Source: Alexandria
Functional: PBE
Structure: relaxed

abc: 6.250 2.743 9.257
angles: 90.00 126.44 90.00
Sites, in units of the cell vectors:
Ni 0.912 0.000 0.518
Ni 0.912 0.500 0.018
Ni 0.485 0.000 0.861
Ni 0.485 0.500 0.361
C 0.152 0.000 0.019
C 0.152 0.500 0.519
C 0.417 0.000 0.183
C 0.417 0.500 0.683
Os 0.089 0.000 0.328
Os 0.089 0.500 0.828
Os 0.637 0.000 0.648
Os 0.637 0.500 0.148

Values from the calculation:
As for the crystal system: monoclinic. Its space group is No. 8. For the formation energy from the elements, the calculation gives 1.434 eV/f.u.